Compound: LiP2AuO
Source: the Alexandria database
Functional: PBE
Structure: relaxed

Calculated values
As for the total energy: -3.6900 eV per atom. The calculation puts the formation energy from raw total energies at 0.504 eV per atom.

abc: 4.6837 4.6837 3.2909
angles: 90.00 90.00 90.00
Space group P4/mmm (No. 123)
Asymmetric unit:
Li  0.0000  0.0000  0.0000 x1
P  0.0000  0.5000  0.0000 x2
Au  0.5000  0.5000  0.5000 x1
O  0.0000  0.0000  0.5000 x1

---

Compound: BeHgH2
Source: the Alexandria database
Functional: PBE
Structure: relaxed

Calculated values
As for the total energy: -2.4889 eV per atom.

abc: 7.2249 7.2249 7.2249
angles: 90.00 90.00 90.00
Space group Fd-3m (No. 227, origin choice 2)
Asymmetric unit:
Be  0.1250  0.1250  0.1250 x8
Hg  0.1250  0.1250  0.6250 x8
H  0.0000  0.0000  0.0000 x16

---

Compound: SmAl2Ag
Source: the Alexandria database
Functional: PBE
Structure: relaxed

Calculated values
As for the total energy: -3.9748 eV per atom. As for the energy of formation: -0.211 eV/atom.

abc: 3.2956 3.2956 7.5111
angles: 90.00 90.00 90.00
Space group P4/mmm (No. 123)
Asymmetric unit:
Sm  0.0000  0.0000  0.0000 x1
Al  0.5000  0.5000  0.2939 x2
Ag  0.0000  0.0000  0.5000 x1

---

Summary of volume in Å³/f.u.
72.19; 47.14; 81.58
(order as listed above)